Cs2PaBr4F2 | PBE | optimized geometry

As for the theoretical density: 4.356 g/cm3. The formation energy without anion corrections is -2.296 eV/atom. The raw total energy is -42.30 eV/cell.

a = 6.262 Å, b = 7.619 Å, c = 7.619 Å
α = 66.38°, β = 79.94°, γ = 79.94°
Each line ends with the local moment (μB).
Atoms (fractional coordinates):
Cs (0.828, 0.330, 0.330)  0.00
Cs (0.172, 0.670, 0.670)  0.00
Br (0.701, 0.850, 0.350)  -0.01
Br (0.701, 0.350, 0.850)  -0.01
Br (0.299, 0.150, 0.650)  -0.01
Br (0.299, 0.650, 0.150)  -0.01
F (0.766, 0.866, 0.866)  -0.01
F (0.234, 0.134, 0.134)  -0.01
Pa (0.500, 0.000, 0.000)  1.04